5
Lattice="5.321 0.000 0.000 0.000 5.321 0.000 0.000 0.000 5.875" Properties=species:S:1:pos:R:3 comment="CaNbHgAu2 PBE relaxed" spacegroup=P4/mmm final_energy_ev_per_atom=-2.59 formation_energy_kcal_per_mol_atoms=27.64 pbc="T T T"
Ca 0.000 0.000 0.000
Nb 0.000 0.000 2.937
Hg 2.661 2.661 2.937
Au 0.000 2.661 0.000
Au 2.661 0.000 0.000



5
Lattice="5.804 0.000 0.000 0.000 5.804 0.000 0.000 0.000 4.275" Properties=species:S:1:pos:R:3 comment="Ca2HgAuO PBE relaxed" spacegroup=P4/mmm final_energy_ev_per_atom=-2.66 pbc="T T T"
Ca 0.000 2.902 0.000
Ca 2.902 0.000 0.000
Hg 0.000 0.000 0.000
Au 2.902 2.902 2.137
O 0.000 0.000 2.137



8
Lattice="2.521 1.455 8.309 -2.521 1.455 8.309 0.000 -2.911 8.309" Properties=species:S:1:pos:R:3 comment="Ca2HgPbAu4 PBE relaxed" spacegroup=R-3m final_energy_ev_per_atom=-3.16 formation_energy_kcal_per_mol_atoms=-12.01 pbc="T T T"
Ca 0.000 0.000 6.158
Ca 0.000 0.000 18.769
Hg 0.000 0.000 12.463
Pb 0.000 0.000 0.000
Au 0.000 0.000 3.122
Au 0.000 0.000 9.303
Au 0.000 0.000 15.623
Au 0.000 0.000 21.804



8
Lattice="2.666 1.539 8.833 -2.666 1.539 8.833 0.000 -3.079 8.833" Properties=species:S:1:pos:R:3 comment="Ca4Hg2PbAu PBE relaxed" spacegroup=R-3m final_energy_ev_per_atom=-2.56 formation_energy_kcal_per_mol_atoms=-14.17 pbc="T T T"
Ca 0.000 0.000 3.182
Ca 0.000 0.000 9.834
Ca 0.000 0.000 16.666
Ca 0.000 0.000 23.318
Hg 0.000 0.000 6.605
Hg 0.000 0.000 19.895
Pb 0.000 0.000 13.250
Au 0.000 0.000 0.000



8
Lattice="2.587 1.494 8.645 -2.587 1.494 8.645 0.000 -2.988 8.645" Properties=species:S:1:pos:R:3 comment="Ca2Hg4PbAu PBE relaxed" spacegroup=R-3m final_energy_ev_per_atom=-1.89 formation_energy_kcal_per_mol_atoms=-8.47 pbc="T T T"
Ca 0.000 0.000 6.415
Ca 0.000 0.000 19.521
Hg 0.000 0.000 3.345
Hg 0.000 0.000 9.881
Hg 0.000 0.000 16.055
Hg 0.000 0.000 22.591
Pb 0.000 0.000 0.000
Au 0.000 0.000 12.968



18
Lattice="4.722 2.726 4.630 -4.722 2.726 4.630 0.000 -5.452 4.630" Properties=species:S:1:pos:R:3 comment="Ca2HgPd3Au12 PBE relaxed" spacegroup=R-3m final_energy_ev_per_atom=-3.50 formation_energy_kcal_per_mol_atoms=-4.91 pbc="T T T"
Ca 0.000 0.000 3.275
Ca 0.000 0.000 10.616
Hg 0.000 0.000 6.946
Pd -2.361 -1.363 4.630
Pd -2.361 1.363 9.261
Pd 0.000 2.726 4.630
Au 0.000 -2.928 3.725
Au -2.535 1.464 3.725
Au -2.376 -1.372 7.422
Au 0.000 -2.744 6.469
Au -2.376 1.372 6.469
Au -2.535 -1.464 10.167
Au 2.535 1.464 3.725
Au 2.376 -1.372 7.422
Au 0.000 2.744 7.422
Au 2.376 1.372 6.469
Au 2.535 -1.464 10.167
Au 0.000 2.928 10.167



20
Lattice="9.900 0.000 0.000 0.000 9.900 0.000 0.000 0.000 4.071" Properties=species:S:1:pos:R:3 comment="Ca2Hg2Pd5Au PBE relaxed" spacegroup=P4/mbm final_energy_ev_per_atom=-3.80 formation_energy_kcal_per_mol_atoms=-9.47 pbc="T T T"
Ca 1.708 3.242 0.000
Ca 3.242 8.192 0.000
Ca 6.658 1.708 0.000
Ca 8.192 6.658 0.000
Hg 1.261 6.211 0.000
Hg 3.689 1.261 0.000
Hg 6.211 8.640 0.000
Hg 8.640 3.689 0.000
Pd 0.000 4.950 2.036
Pd 0.602 7.975 2.036
Pd 1.926 0.602 2.036
Pd 3.025 5.552 2.036
Pd 4.348 3.025 2.036
Pd 4.950 0.000 2.036
Pd 5.552 6.876 2.036
Pd 6.876 4.348 2.036
Pd 7.975 9.298 2.036
Pd 9.298 1.926 2.036
Au 0.000 0.000 0.000
Au 4.950 4.950 0.000



10
Lattice="6.966 0.000 0.000 0.000 4.807 0.000 -2.165 0.000 7.345" Properties=species:S:1:pos:R:3 comment="Ca2HgPdAu PBE relaxed" spacegroup=P2_1/m final_energy_ev_per_atom=-3.19 formation_energy_kcal_per_mol_atoms=-14.56 pbc="T T T"
Ca 0.396 1.202 2.529
Ca 0.104 1.202 6.769
Ca 4.697 3.605 0.575
Ca 4.405 3.605 4.816
Hg 0.809 3.605 4.854
Hg 3.992 1.202 2.491
Pd 2.454 3.605 2.575
Pd 2.347 1.202 4.770
Au 0.750 3.605 0.417
Au 4.051 1.202 6.928



8
Lattice="2.582 1.491 8.435 -2.582 1.491 8.435 0.000 -2.981 8.435" Properties=species:S:1:pos:R:3 comment="Ca4HgPdAu2 PBE relaxed" spacegroup=R-3m final_energy_ev_per_atom=-3.19 formation_energy_kcal_per_mol_atoms=-15.76 pbc="T T T"
Ca 0.000 0.000 3.040
Ca 0.000 0.000 9.387
Ca 0.000 0.000 15.918
Ca 0.000 0.000 22.265
Hg 0.000 0.000 12.652
Pd 0.000 0.000 0.000
Au 0.000 0.000 6.306
Au 0.000 0.000 18.999



20
Lattice="9.757 0.000 0.000 0.000 9.757 0.000 0.000 0.000 4.275" Properties=species:S:1:pos:R:3 comment="Ca2HgPd2Au5 PBE relaxed" spacegroup=P4/mbm final_energy_ev_per_atom=-3.60 formation_energy_kcal_per_mol_atoms=-11.33 pbc="T T T"
Ca 1.683 3.195 0.000
Ca 3.195 8.073 0.000
Ca 6.561 1.683 0.000
Ca 8.073 6.561 0.000
Hg 0.000 0.000 0.000
Hg 4.878 4.878 0.000
Pd 1.224 6.102 0.000
Pd 3.655 1.224 0.000
Pd 6.102 8.533 0.000
Pd 8.533 3.655 0.000
Au 0.000 4.878 2.137
Au 0.640 7.768 2.137
Au 1.988 0.640 2.137
Au 2.890 5.519 2.137
Au 4.238 2.890 2.137
Au 4.878 0.000 2.137
Au 5.519 6.867 2.137
Au 6.867 4.238 2.137
Au 7.768 9.116 2.137
Au 9.116 1.988 2.137



8
Lattice="2.567 1.482 8.376 -2.567 1.482 8.376 0.000 -2.964 8.376" Properties=species:S:1:pos:R:3 comment="Ca4HgPd2Au PBE relaxed" spacegroup=R-3m final_energy_ev_per_atom=-3.40 formation_energy_kcal_per_mol_atoms=-15.03 pbc="T T T"
Ca 0.000 0.000 3.065
Ca 0.000 0.000 9.351
Ca 0.000 0.000 15.778
Ca 0.000 0.000 22.064
Hg 0.000 0.000 12.564
Pd 0.000 0.000 6.215
Pd 0.000 0.000 18.914
Au 0.000 0.000 0.000



4
Lattice="0.000 3.714 3.714 3.714 0.000 3.714 3.714 3.714 0.000" Properties=species:S:1:pos:R:3 comment="CaPuHgAu PBE relaxed" spacegroup=F-43m final_energy_ev_per_atom=-5.38 formation_energy_kcal_per_mol_atoms=-9.36 pbc="T T T"
Ca 0.000 0.000 0.000
Pu 3.714 3.714 3.714
Hg 5.571 5.571 5.571
Au 1.857 1.857 1.857



no.,calculated volume (Å³ per atom)
1,33.27
2,28.80
3,22.86
4,27.19
5,25.06
6,19.87
7,19.95
8,24.59
9,24.35
10,20.35
11,23.90
12,25.61